Below is crystalline Nd2SmPaRu2 at its relaxed geometry, with properties calculated at the GGA-PBE level.

Output
crystal system: orthorhombic
E_form: -1.61 eV per formula unit
volume: 328.5 Å³ per cell

Cell: 6.8661 7.0590 8.3781 Å, 114.92 114.19 90.00°
Atoms (fractional coordinates):
Nd: 0.6950 0.9075 0.3900
Nd: 0.1950 0.4825 0.3900
Nd: 0.8050 0.5175 0.6100
Nd: 0.3050 0.0925 0.6100
Sm: 0.2500 0.0000 0.0000
Sm: 0.7500 0.0000 0.0000
Pa: 0.7500 0.5000 0.0000
Pa: 0.2500 0.5000 0.0000
Ru: 0.4047 0.6115 0.8094
Ru: 0.5953 0.3885 0.1906
Ru: 0.0953 0.8020 0.1906
Ru: 0.9047 0.1980 0.8094